# Ac2La8Pm PBE-GGA relaxed
data_Ac2La8Pm
_cell_length_a 17.124
_cell_length_b 7.047
_cell_length_c 7.075
_cell_angle_alpha 90.00
_cell_angle_beta 100.48
_cell_angle_gamma 90.00
_symmetry_space_group_name_H-M 'C 1 2/m 1'
_symmetry_Int_Tables_number 12
_symmetry_space_group_name_Hall '-C 2y'
loop_
_atom_site_label
_atom_site_type_symbol
_atom_site_fract_x
_atom_site_fract_y
_atom_site_fract_z
Ac1 Ac 0.196 0.000 0.318
La1 La 0.084 0.269 0.900
La2 La 0.090 0.500 0.411
La3 La 0.244 0.000 0.830
Pm1 Pm 0.000 0.000 0.500
# **Crystal system**: monoclinic
# **Energy of formation from the pure elements**: 0.11 eV/atom
# **N(E_F)**: 1.733 states/eV/atom
# **V**: 839 Å³/cell
# **Electronic total energy**: -4.648 eV/atom

# ThGa5Ir2Ru PBE-GGA relaxed
data_ThGa5Ir2Ru
_cell_length_a 4.796
_cell_length_b 4.796
_cell_length_c 7.552
_cell_angle_alpha 90.00
_cell_angle_beta 90.00
_cell_angle_gamma 90.00
_symmetry_space_group_name_H-M 'P 4/m m m'
_symmetry_Int_Tables_number 123
_symmetry_space_group_name_Hall '-P 4 2'
loop_
_atom_site_label
_atom_site_type_symbol
_atom_site_fract_x
_atom_site_fract_y
_atom_site_fract_z
Th1 Th 0.000 0.000 0.000
Ga1 Ga 0.000 0.500 0.321
Ga2 Ga 0.500 0.500 0.000
Ir1 Ir 0.500 0.500 0.304
Ru1 Ru 0.000 0.000 0.500
# **Crystal system**: tetragonal
# **Energy of formation from the pure elements**: -0.08 eV/atom
# **N(E_F)**: 0.721 states/eV/atom
# **V**: 174 Å³/cell
# **Electronic total energy**: -5.583 eV/atom

# Ba3Cu17AgP6 PBE-GGA relaxed
data_Ba3Cu17AgP6
_cell_length_a 17.874
_cell_length_b 5.760
_cell_length_c 10.580
_cell_angle_alpha 90.00
_cell_angle_beta 124.19
_cell_angle_gamma 90.00
_symmetry_space_group_name_H-M 'C 1 2/m 1'
_symmetry_Int_Tables_number 12
_symmetry_space_group_name_Hall '-C 2y'
loop_
_atom_site_label
_atom_site_type_symbol
_atom_site_fract_x
_atom_site_fract_y
_atom_site_fract_z
Ba1 Ba 0.000 0.000 0.000
Ba2 Ba 0.162 0.500 0.984
Cu1 Cu 0.000 0.000 0.500
Cu2 Cu 0.034 0.234 0.329
Cu3 Cu 0.150 0.231 0.672
Cu4 Cu 0.171 0.500 0.500
Cu5 Cu 0.176 0.000 0.497
Cu6 Cu 0.190 0.254 0.316
Ag1 Ag 0.000 0.500 0.500
P1 P 0.068 0.500 0.206
P2 P 0.094 0.000 0.781
P3 P 0.235 0.000 0.203
# **Crystal system**: monoclinic
# **Energy of formation from the pure elements**: -0.32 eV/atom
# **N(E_F)**: 0.266 states/eV/atom
# **V**: 901 Å³/cell
# **Electronic total energy**: -4.417 eV/atom

# Ga2BOs PBE-GGA relaxed
data_Ga2BOs
_cell_length_a 7.680
_cell_length_b 7.680
_cell_length_c 4.147
_cell_angle_alpha 90.00
_cell_angle_beta 90.00
_cell_angle_gamma 90.00
_symmetry_space_group_name_H-M 'I -4 2 d'
_symmetry_Int_Tables_number 122
_symmetry_space_group_name_Hall 'I -4 2bw'
loop_
_atom_site_label
_atom_site_type_symbol
_atom_site_fract_x
_atom_site_fract_y
_atom_site_fract_z
Ga1 Ga 0.120 0.750 0.125
B1 B 0.000 0.000 0.000
Os1 Os 0.000 0.000 0.500
# **Crystal system**: tetragonal
# **Energy of formation from the pure elements**: 0.57 eV/atom
# **N(E_F)**: 0.505 states/eV/atom
# **V**: 245 Å³/cell
# **Electronic total energy**: -5.423 eV/atom

What did the third record say?
# Ba3Cu17AgP6 PBE-GGA relaxed
data_Ba3Cu17AgP6
_cell_length_a 17.874
_cell_length_b 5.760
_cell_length_c 10.580
_cell_angle_alpha 90.00
_cell_angle_beta 124.19
_cell_angle_gamma 90.00
_symmetry_space_group_name_H-M 'C 1 2/m 1'
_symmetry_Int_Tables_number 12
_symmetry_space_group_name_Hall '-C 2y'
loop_
_atom_site_label
_atom_site_type_symbol
_atom_site_fract_x
_atom_site_fract_y
_atom_site_fract_z
Ba1 Ba 0.000 0.000 0.000
Ba2 Ba 0.162 0.500 0.984
Cu1 Cu 0.000 0.000 0.500
Cu2 Cu 0.034 0.234 0.329
Cu3 Cu 0.150 0.231 0.672
Cu4 Cu 0.171 0.500 0.500
Cu5 Cu 0.176 0.000 0.497
Cu6 Cu 0.190 0.254 0.316
Ag1 Ag 0.000 0.500 0.500
P1 P 0.068 0.500 0.206
P2 P 0.094 0.000 0.781
P3 P 0.235 0.000 0.203
# **Crystal system**: monoclinic
# **Energy of formation from the pure elements**: -0.32 eV/atom
# **N(E_F)**: 0.266 states/eV/atom
# **V**: 901 Å³/cell
# **Electronic total energy**: -4.417 eV/atom

Which of these has the lowest N(E_F)?
Ba3Cu17AgP6